Entry 1:
# Tb5PmSb4

Tb5PmSb4 after structural relaxation (GGA-PBE, Alexandria via LeMat-Bulk).

uncorrected formation energy	-7.5	eV/f.u.

Unit cell a=4.3468 b=8.5152 c=9.6601 alpha=105.62 beta=103.00 gamma=90.00
Last column: nearest neighbours and their distance in Å.
Positions (direct):
1 Tb 0.8226 0.6508 0.6453  3 Sb 3.05-3.08
2 Tb 0.8383 0.1731 0.6767  4 Sb 3.02-3.09
3 Tb 0.1617 0.8269 0.3233  4 Sb 3.02-3.09
4 Tb 0.5000 0.5000 0.0000  4 Sb 3.01
5 Tb 0.1774 0.3492 0.3547  3 Sb 3.05-3.08
6 Pm 0.5000 0.0000 0.0000  6 Sb 3.09-3.11
7 Sb 0.3283 0.9094 0.6567  5 Tb 3.02-3.09, 1 Pm 3.11
8 Sb 0.9913 0.7378 0.9825  4 Tb 3.01-3.09, 2 Pm 3.09
9 Sb 0.6717 0.0906 0.3433  5 Tb 3.02-3.09, 1 Pm 3.11
10 Sb 0.0087 0.2622 0.0175  4 Tb 3.01-3.09, 2 Pm 3.09

---

Entry 2:
# Nb2VCu

Nb2VCu after structural relaxation (GGA-PBE, Alexandria via LeMat-Bulk).

DFT formation energy	66.0	meV/atom
energy above the most stable polymorph in this dataset	0	meV/atom

Unit cell a=3.2364 b=3.2364 c=5.9696 alpha=90.00 beta=90.00 gamma=90.00
Last column: nearest neighbours and their distance in Å.
Positions (direct):
1 Nb 0.0000 0.0000 0.7533  4 V 2.72, 4 Cu 2.74, 2 Nb 2.95-3.02
2 Nb 0.0000 0.0000 0.2467  4 V 2.72, 4 Cu 2.74, 2 Nb 2.95-3.02
3 Cu 0.5000 0.5000 0.5000  8 Nb 2.74, 2 V 2.98
4 V 0.5000 0.5000 0.0000  8 Nb 2.72, 2 Cu 2.98

---

Entry 3:
# Ca2Zr2Ru

Ca2Zr2Ru after structural relaxation (GGA-PBE, Alexandria via LeMat-Bulk).

DFT formation energy	731.8	meV/atom
energy above the most stable polymorph in this dataset	0	meV/atom

Unit cell a=3.8425 b=3.8425 c=9.7555 alpha=78.64 beta=78.64 gamma=90.00
Last column: nearest neighbours and their distance in Å.
Positions (direct):
1 Ru 0.0000 0.0000 0.0000  8 Ca 3.14
2 Ca 0.4158 0.4158 0.1684  4 Ru 3.14, 1 Ca 3.16
3 Ca 0.5842 0.5842 0.8316  4 Ru 3.14, 1 Ca 3.16
4 Zr 0.7500 0.2500 0.5000  4 Zr 2.72
5 Zr 0.2500 0.7500 0.5000  4 Zr 2.72

---

Entry 4:
# HoThGe2O8

HoThGe2O8 after structural relaxation (GGA-PBE, Alexandria via LeMat-Bulk).

uncorrected formation energy	-30.0	eV/f.u.

Unit cell a=6.0431 b=6.0431 c=6.0431 alpha=107.28 beta=107.28 gamma=113.95
Last column: nearest neighbours and their distance in Å.
Positions (direct):
1 Ho 0.2500 0.7500 0.5000  8 O 2.30-2.45
2 Th 0.0000 0.0000 0.0000  8 O 2.33-2.49
3 Ge 0.7500 0.2500 0.5000  4 O 1.77
4 Ge 0.5000 0.5000 0.0000  4 O 1.78
5 O 0.3863 0.0668 0.3196  1 Ge 1.77
6 O 0.3208 0.5058 0.1850  1 Ge 1.78
7 O 0.3208 0.1358 0.8150  1 Ge 1.78
8 O 0.7472 0.0668 0.6804  1 Ge 1.77
9 O 0.8642 0.6792 0.1850  1 Ge 1.78
10 O 0.9332 0.2528 0.3196  1 Ge 1.77
11 O 0.9332 0.6137 0.6804  1 Ge 1.77
12 O 0.4942 0.6792 0.8150  1 Ge 1.78

---

Entry 5:
# LiAl2Pd2

LiAl2Pd2 after structural relaxation (GGA-PBE, Alexandria via LeMat-Bulk).

DFT formation energy	-760.8	meV/atom
energy above the most stable polymorph in this dataset	0	meV/atom

Unit cell a=7.3365 b=7.3365 c=2.8784 alpha=90.00 beta=90.00 gamma=90.00
Last column: nearest neighbours and their distance in Å.
Positions (direct):
1 Al 0.1481 0.6481 0.5000  6 Pd 2.55-2.61
2 Al 0.6481 0.8519 0.5000  6 Pd 2.55-2.61
3 Al 0.8519 0.3519 0.5000  6 Pd 2.55-2.61
4 Al 0.3519 0.1481 0.5000  6 Pd 2.55-2.61
5 Pd 0.3514 0.8514 0.0000  6 Al 2.55-2.61, 2 Li 2.80
6 Pd 0.8514 0.6486 0.0000  6 Al 2.55-2.61, 2 Li 2.80
7 Pd 0.6486 0.1486 0.0000  6 Al 2.55-2.61, 2 Li 2.80
8 Pd 0.1486 0.3514 0.0000  6 Al 2.55-2.61, 2 Li 2.80
9 Li 0.0000 0.0000 0.0000  4 Pd 2.80, 2 Li 2.88
10 Li 0.5000 0.5000 0.0000  4 Pd 2.80, 2 Li 2.88

---

Entry 6:
# Ca5AlZn2

Ca5AlZn2 after structural relaxation (GGA-PBE, Alexandria via LeMat-Bulk).

DFT formation energy	-195.7	meV/atom

Unit cell a=7.9005 b=7.9005 c=9.4828 alpha=114.62 beta=114.62 gamma=90.00
Last column: nearest neighbours and their distance in Å.
Positions (direct):
1 Ca 0.5272 0.6779 0.7051  3 Zn 3.24-3.27, 2 Al 3.31, 1 Ca 3.57
2 Ca 0.8221 0.9728 0.2949  3 Zn 3.24-3.27, 2 Al 3.31, 1 Ca 3.57
3 Ca 0.0000 0.0000 0.0000  4 Zn 3.18
4 Ca 0.5000 0.5000 0.0000  4 Zn 3.18
5 Ca 0.1779 0.0272 0.7051  3 Zn 3.24-3.27, 2 Al 3.31, 1 Ca 3.57
6 Ca 0.6779 0.1779 0.7051  3 Zn 3.24-3.27, 2 Al 3.31, 1 Ca 3.57
7 Ca 0.0272 0.5272 0.7051  3 Zn 3.24-3.27, 2 Al 3.31, 1 Ca 3.57
8 Ca 0.3221 0.8221 0.2949  3 Zn 3.24-3.27, 2 Al 3.31, 1 Ca 3.57
9 Ca 0.9728 0.4728 0.2949  3 Zn 3.24-3.27, 2 Al 3.31, 1 Ca 3.57
10 Ca 0.4728 0.3221 0.2949  3 Zn 3.24-3.27, 2 Al 3.31, 1 Ca 3.57
11 Al 0.7500 0.7500 0.5000  8 Ca 3.31
12 Al 0.2500 0.2500 0.5000  8 Ca 3.31
13 Zn 0.1137 0.3863 0.0000  1 Zn 2.54
14 Zn 0.6137 0.1137 0.0000  1 Zn 2.54
15 Zn 0.3863 0.8863 0.0000  1 Zn 2.54
16 Zn 0.8863 0.6137 0.0000  1 Zn 2.54

---

Entry 7:
# Ba2NaTlP

Ba2NaTlP after structural relaxation (GGA-PBE, Alexandria via LeMat-Bulk).

DFT formation energy	-402.1	meV/atom

Unit cell a=6.2982 b=6.2982 c=5.3393 alpha=90.00 beta=90.00 gamma=90.00
Last column: nearest neighbours and their distance in Å.
Positions (direct):
1 P 0.0000 0.0000 0.0000  2 Na 2.67
2 Tl 0.5000 0.5000 0.5000  8 Ba 4.13, 4 Na 4.45
3 Ba 0.0000 0.5000 0.0000  2 P 3.15
4 Ba 0.5000 0.0000 0.0000  2 P 3.15
5 Na 0.0000 0.0000 0.5000  2 P 2.67

---

Entry 8:
# KMnMo2

KMnMo2 after structural relaxation (GGA-PBE, Alexandria via LeMat-Bulk).

DFT formation energy	1722.4	meV/atom
energy above the most stable polymorph in this dataset	969	meV/atom

Unit cell a=5.1554 b=5.1554 c=2.6605 alpha=90.00 beta=90.00 gamma=90.00
Last column: nearest neighbours and their distance in Å.
Positions (direct):
1 K 0.5000 0.0000 0.5000  2 K 2.66, 8 Mo 2.90
2 Mn 0.0000 0.5000 0.5000  2 Mn 2.66, 8 Mo 2.90
3 Mo 0.0000 0.0000 0.0000  2 Mo 2.66, 4 K 2.90, 4 Mn 2.90
4 Mo 0.5000 0.5000 0.0000  2 Mo 2.66, 4 Mn 2.90, 4 K 2.90

---

Entry 9:
# Ba3ZnIn3

Ba3ZnIn3 after structural relaxation (GGA-PBE, Alexandria via LeMat-Bulk).

DFT formation energy	-362.8	meV/atom

Unit cell a=4.5146 b=7.0883 c=17.0970 alpha=82.45 beta=82.41 gamma=71.43
Last column: nearest neighbours and their distance in Å.
Positions (direct):
1 Ba 0.5046 0.3815 0.6093  2 Zn 3.50, 6 In 3.63-3.92, 1 Ba 3.89
2 Ba 0.4954 0.6185 0.3907  2 Zn 3.50, 6 In 3.63-3.92, 1 Ba 3.89
3 Ba 0.2630 0.2357 0.2383  2 Zn 3.50, 6 In 3.66-3.85
4 Ba 0.7370 0.7643 0.7617  2 Zn 3.50, 6 In 3.66-3.85
5 Ba 0.3819 0.3140 0.9222  7 In 3.62-3.82
6 Ba 0.6181 0.6859 0.0778  7 In 3.62-3.82
7 Zn 0.8007 0.0193 0.3792  4 In 2.85-2.96
8 Zn 0.1993 0.9807 0.6208  4 In 2.85-2.96
9 In 0.8105 0.8405 0.5386  3 Zn 2.85-2.86
10 In 0.1895 0.1595 0.4614  3 Zn 2.85-2.86
11 In 0.0980 0.8832 0.9208  2 In 3.17-3.24
12 In 0.9020 0.1168 0.0792  2 In 3.17-3.24
13 In 0.9788 0.8091 0.2332  1 Zn 2.96, 1 In 3.17
14 In 0.0212 0.1909 0.7668  1 Zn 2.96, 1 In 3.17

---

Entry 10:
# Tb2Sm2Y6Th

Tb2Sm2Y6Th after structural relaxation (GGA-PBE, Alexandria via LeMat-Bulk).

DFT formation energy	148.1	meV/atom

Unit cell a=6.6651 b=6.6651 c=12.0616 alpha=101.71 beta=101.71 gamma=129.21
Last column: nearest neighbours and their distance in Å.
Positions (direct):
1 Tb 0.2975 0.7025 0.5000  2 Tb 3.08, 2 Y 3.30
2 Tb 0.7025 0.2975 0.5000  2 Tb 3.08, 2 Y 3.30
3 Sm 0.8646 0.1354 0.0000  1 Sm 3.26, 8 Y 3.40-3.64
4 Sm 0.1354 0.8646 0.0000  1 Sm 3.26, 8 Y 3.40-3.64
5 Y 0.7101 0.7101 0.7094  2 Tb 3.30, 2 Sm 3.49, 4 Y 3.50, 2 Th 3.62-3.63
6 Y 0.1388 0.4416 0.7896  3 Sm 3.40-3.64, 5 Y 3.50-3.72, 1 Tb 3.54, 1 Th 3.58
7 Y 0.2899 0.2899 0.2906  2 Tb 3.30, 2 Sm 3.49, 4 Y 3.50, 2 Th 3.62-3.63
8 Y 0.4416 0.1388 0.7896  3 Sm 3.40-3.64, 5 Y 3.50-3.72, 1 Tb 3.54, 1 Th 3.58
9 Y 0.8612 0.5584 0.2104  3 Sm 3.40-3.64, 5 Y 3.50-3.72, 1 Tb 3.54, 1 Th 3.58
10 Y 0.5584 0.8612 0.2104  3 Sm 3.40-3.64, 5 Y 3.50-3.72, 1 Tb 3.54, 1 Th 3.58
11 Th 0.0000 0.0000 0.5000  8 Y 3.58-3.63, 6 Tb 3.58-3.76

---

Entry 11:
# YMgRh

YMgRh after structural relaxation (GGA-PBE, Alexandria via LeMat-Bulk).

DFT formation energy	-492.9	meV/atom

Unit cell a=4.6360 b=4.6360 c=4.6360 alpha=60.00 beta=60.00 gamma=60.00
Last column: nearest neighbours and their distance in Å.
Positions (direct):
1 Mg 0.5000 0.5000 0.5000  4 Rh 2.84
2 Rh 0.7500 0.7500 0.7500  4 Mg 2.84, 4 Y 2.84
3 Y 0.0000 0.0000 0.0000  4 Rh 2.84

---

Entry 12:
# RbMoRh3

RbMoRh3 after structural relaxation (GGA-PBE, Alexandria via LeMat-Bulk).

DFT formation energy	864.2	meV/atom
energy above the most stable polymorph in this dataset	0	meV/atom

Unit cell a=4.8226 b=4.8226 c=4.8226 alpha=90.00 beta=90.00 gamma=90.00
Last column: nearest neighbours and their distance in Å.
Positions (direct):
1 Mo 0.0000 0.0000 0.0000  6 Rh 2.41
2 Rh 0.0000 0.5000 0.0000  2 Mo 2.41
3 Rh 0.0000 0.0000 0.5000  2 Mo 2.41
4 Rh 0.5000 0.0000 0.0000  2 Mo 2.41
5 Rb 0.5000 0.5000 0.5000  12 Rh 3.41